1.
The following is a PBE calculation of a relaxed structure of Pr5NdZn6, from Alexandria via LeMat-Bulk.

a b c (Å): 5.2351 7.4337 8.2834
angles (deg): 90.00 108.23 90.00
Atoms (fractional coordinates):
Pr (0.0000, 0.0000, 0.0000)
Pr (0.3332, 0.0000, 0.6661)
Pr (0.3336, 0.5000, 0.6670)
Pr (0.6664, 0.5000, 0.3330)
Pr (0.6668, 0.0000, 0.3339)
Nd (0.0000, 0.5000, 0.0000)
Zn (0.1657, 0.2509, 0.3317)
Zn (0.1657, 0.7491, 0.3317)
Zn (0.5000, 0.2514, 0.0000)
Zn (0.5000, 0.7486, 0.0000)
Zn (0.8343, 0.2509, 0.6683)
Zn (0.8343, 0.7491, 0.6683)

Values from the calculation:
Final energy ... -3.33 eV per atom
Magnetization ... 0.0 μB/f.u.
Energy of formation from the pure elements ... -0.3011 eV/atom

2.
The following is a PBE calculation of a relaxed structure of ErTh2Cd, from Alexandria via LeMat-Bulk.

a b c (Å): 3.4739 3.4739 9.9800
angles (deg): 90.00 90.00 90.00
Atoms (fractional coordinates):
Er (0.0000, 0.0000, 0.0000)
Th (0.5000, 0.5000, 0.2615)
Th (0.5000, 0.5000, 0.7385)
Cd (0.0000, 0.0000, 0.5000)

Values from the calculation:
Final energy ... -5.07 eV per atom
Magnetization ... 0.0 μB/f.u.
Energy relative to the lowest polymorph listed for this composition ... 0.0000 eV/atom
Energy of formation from the pure elements ... 0.0084 eV/atom

3.
The following is a PBE calculation of a relaxed structure of Tl2CdI2, from Alexandria via LeMat-Bulk.

a b c (Å): 8.1716 8.1716 8.1716
angles (deg): 134.72 134.72 65.97
Atoms (fractional coordinates):
Tl (0.2500, 0.7500, 0.5000)
Tl (0.7500, 0.2500, 0.5000)
Cd (0.0000, 0.0000, 0.0000)
I (0.3467, 0.3467, 0.0000)
I (0.6533, 0.6533, 0.0000)

Values from the calculation:
Final energy ... -2.06 eV per atom
Magnetization ... 0.0 μB/f.u.
Energy relative to the lowest polymorph listed for this composition ... 0.0892 eV/atom
Formation energy (no corrections) ... -0.308 eV/atom

4.
The following is a PBE calculation of a relaxed structure of Na5Sr2Sn4, from Alexandria via LeMat-Bulk.

a b c (Å): 7.9735 7.9735 9.5698
angles (deg): 124.45 124.45 49.36
Atoms (fractional coordinates):
Na (0.0000, 0.0000, 0.0000)
Na (0.2403, 0.7267, 0.3084)
Na (0.2733, 0.7597, 0.6916)
Na (0.7267, 0.2403, 0.3084)
Na (0.7597, 0.2733, 0.6916)
Sr (0.2820, 0.2820, 0.7279)
Sr (0.7180, 0.7180, 0.2721)
Sn (0.2346, 0.2346, 0.0321)
Sn (0.2785, 0.2785, 0.3713)
Sn (0.7215, 0.7215, 0.6287)
Sn (0.7654, 0.7654, 0.9679)

Values from the calculation:
Final energy ... -2.60 eV per atom
Magnetization ... 0.0 μB/f.u.
Energy of formation from the pure elements ... -0.2430 eV/atom

5.
The following is a PBE calculation of a relaxed structure of Hf2VBi, from Alexandria via LeMat-Bulk.

a b c (Å): 4.5801 4.5801 3.9168
angles (deg): 90.00 90.00 90.00
Atoms (fractional coordinates):
Hf (0.0000, 0.5000, 0.0000)
Hf (0.5000, 0.0000, 0.0000)
V (0.0000, 0.0000, 0.5000)
Bi (0.5000, 0.5000, 0.5000)

Values from the calculation:
Final energy ... -8.10 eV per atom
Magnetization ... 0.0 μB/f.u.
Energy relative to the lowest polymorph listed for this composition ... 0.0948 eV/atom
Energy of formation from the pure elements ... 0.1236 eV/atom

6.
The following is a PBE calculation of a relaxed structure of Ac2PuS2N2, from Alexandria via LeMat-Bulk.

a b c (Å): 8.3709 8.3709 8.3709
angles (deg): 149.58 149.58 43.57
Atoms (fractional coordinates):
Ac (0.1255, 0.1255, 0.0000)
Ac (0.8745, 0.8745, 0.0000)
Pu (0.5000, 0.5000, 0.0000)
S (0.3219, 0.3219, 0.0000)
S (0.6781, 0.6781, 0.0000)
N (0.0000, 0.5000, 0.5000)
N (0.5000, 0.0000, 0.5000)

Values from the calculation:
Final energy ... -8.47 eV per atom
Magnetization ... 4.0 μB/f.u.
Formation energy (no corrections) ... -1.694 eV/atom

7.
The following is a PBE calculation of a relaxed structure of ZrIr2Pb, from Alexandria via LeMat-Bulk.

a b c (Å): 4.2314 5.3986 5.3986
angles (deg): 39.50 90.00 90.00
Atoms (fractional coordinates):
Zr (0.0000, 0.0000, 0.0000)
Ir (0.0000, 0.7166, 0.7166)
Ir (0.5000, 0.5520, 0.5520)
Pb (0.5000, 0.2862, 0.2862)

Values from the calculation:
Final energy ... -7.70 eV per atom
Magnetization ... 0.0 μB/f.u.
Energy of formation from the pure elements ... -0.2032 eV/atom

8.
The following is a PBE calculation of a relaxed structure of BeZn2Ir, from Alexandria via LeMat-Bulk.

a b c (Å): 4.7937 4.7937 4.7937
angles (deg): 136.98 136.98 62.47
Atoms (fractional coordinates):
Be (0.0000, 0.0000, 0.0000)
Zn (0.2500, 0.7500, 0.5000)
Zn (0.7500, 0.2500, 0.5000)
Ir (0.5000, 0.5000, 0.0000)

Values from the calculation:
Final energy ... -4.00 eV per atom
Magnetization ... 0.0 μB/f.u.
Energy of formation from the pure elements ... -0.2155 eV/atom

9.
The following is a PBE calculation of a relaxed structure of Pr2CdIn9, from Alexandria via LeMat-Bulk.

a b c (Å): 4.7641 4.7641 13.9555
angles (deg): 90.00 90.00 90.00
Atoms (fractional coordinates):
Pr (0.0000, 0.0000, 0.1684)
Pr (0.0000, 0.0000, 0.8316)
Cd (0.0000, 0.0000, 0.5000)
In (0.0000, 0.5000, 0.0000)
In (0.0000, 0.5000, 0.3430)
In (0.0000, 0.5000, 0.6570)
In (0.5000, 0.0000, 0.0000)
In (0.5000, 0.0000, 0.3430)
In (0.5000, 0.0000, 0.6570)
In (0.5000, 0.5000, 0.1645)
In (0.5000, 0.5000, 0.5000)
In (0.5000, 0.5000, 0.8355)

Values from the calculation:
Final energy ... -3.20 eV per atom
Magnetization ... 0.0 μB/f.u.
Energy of formation from the pure elements ... -0.2779 eV/atom

10.
The following is a PBE calculation of a relaxed structure of K2ZrPb, from Alexandria via LeMat-Bulk.

a b c (Å): 7.3050 7.3050 3.4243
angles (deg): 101.19 101.19 127.72
Atoms (fractional coordinates):
K (0.0000, 0.5000, 0.0000)
K (0.5000, 0.0000, 0.0000)
Zr (0.0000, 0.0000, 0.5000)
Pb (0.5000, 0.5000, 0.5000)

Values from the calculation:
Final energy ... -3.14 eV per atom
Magnetization ... 1.6 μB/f.u.
Energy relative to the lowest polymorph listed for this composition ... 0.2825 eV/atom
Energy of formation from the pure elements ... 0.4721 eV/atom

11.
The following is a PBE calculation of a relaxed structure of Li2GaGe, from Alexandria via LeMat-Bulk.

a b c (Å): 3.0755 3.0755 6.5166
angles (deg): 90.00 90.00 90.00
Atoms (fractional coordinates):
Li (0.0000, 0.0000, 0.2471)
Li (0.0000, 0.0000, 0.7529)
Ga (0.5000, 0.5000, 0.5000)
Ge (0.5000, 0.5000, 0.0000)

Values from the calculation:
Final energy ... -3.13 eV per atom
Magnetization ... 0.0 μB/f.u.
Energy relative to the lowest polymorph listed for this composition ... 0.0323 eV/atom
Energy of formation from the pure elements ... -0.2585 eV/atom

12.
The following is a PBE calculation of a relaxed structure of Tb4DySe5, from Alexandria via LeMat-Bulk.

a b c (Å): 14.7659 14.7659 14.7659
angles (deg): 164.08 164.08 22.58
Atoms (fractional coordinates):
Tb (0.0996, 0.0996, 0.0000)
Tb (0.2994, 0.2994, 0.0000)
Tb (0.7006, 0.7006, 0.0000)
Tb (0.9004, 0.9004, 0.0000)
Dy (0.5000, 0.5000, 0.0000)
Se (0.0000, 0.0000, 0.0000)
Se (0.1996, 0.1996, 0.0000)
Se (0.4000, 0.4000, 0.0000)
Se (0.6000, 0.6000, 0.0000)
Se (0.8004, 0.8004, 0.0000)

Values from the calculation:
Final energy ... -5.82 eV per atom
Magnetization ... 0.0 μB/f.u.
Energy relative to the lowest polymorph listed for this composition ... 0.0021 eV/atom
Formation energy (no corrections) ... -1.765 eV/atom

13.
The following is a PBE calculation of a relaxed structure of CdHRh3, from Alexandria via LeMat-Bulk.

a b c (Å): 6.2016 6.2016 6.2016
angles (deg): 129.35 129.35 74.45
Atoms (fractional coordinates):
Cd (0.1424, 0.1424, 0.0000)
Cd (0.8576, 0.8576, 0.0000)
H (0.5000, 0.5000, 0.0000)
H (0.7500, 0.2500, 0.5000)
Rh (0.1233, 0.6233, 0.5000)
Rh (0.1295, 0.3852, 0.7443)
Rh (0.3767, 0.8767, 0.5000)
Rh (0.6148, 0.3591, 0.7443)
Rh (0.6148, 0.8705, 0.2557)
Rh (0.6409, 0.3852, 0.2557)

Values from the calculation:
Final energy ... -5.04 eV per atom
Magnetization ... 1.4 μB/f.u.
Energy relative to the lowest polymorph listed for this composition ... 0.2505 eV/atom

14.
The following is a PBE calculation of a relaxed structure of KLi2Ga, from Alexandria via LeMat-Bulk.

a b c (Å): 10.0665 10.0665 10.0665
angles (deg): 149.38 149.38 43.86
Atoms (fractional coordinates):
K (0.0000, 0.0000, 0.0000)
K (0.7500, 0.2500, 0.5000)
Li (0.3598, 0.6250, 0.2348)
Li (0.3750, 0.6098, 0.7348)
Li (0.3902, 0.1250, 0.7652)
Li (0.8750, 0.6402, 0.2652)
Ga (0.2500, 0.7500, 0.5000)
Ga (0.5000, 0.5000, 0.0000)

Values from the calculation:
Final energy ... -1.83 eV per atom
Magnetization ... 0.0 μB/f.u.
Energy of formation from the pure elements ... 0.1583 eV/atom

15.
The following is a PBE calculation of a relaxed structure of NpMnZnFe, from Alexandria via LeMat-Bulk.

a b c (Å): 4.3756 4.3756 4.3756
angles (deg): 60.00 60.00 60.00
Atoms (fractional coordinates):
Np (0.0000, 0.0000, 0.0000)
Mn (0.2500, 0.2500, 0.2500)
Zn (0.5000, 0.5000, 0.5000)
Fe (0.7500, 0.7500, 0.7500)

Values from the calculation:
Final energy ... -7.81 eV per atom
Magnetization ... 0.5 μB/f.u.
Energy of formation from the pure elements ... 0.1498 eV/atom

16.
The following is a PBE calculation of a relaxed structure of Cu3Mo, from Alexandria via LeMat-Bulk.

a b c (Å): 3.7633 3.7633 3.7633
angles (deg): 90.00 90.00 90.00
Atoms (fractional coordinates):
Cu (0.0000, 0.0000, 0.5000)
Cu (0.0000, 0.5000, 0.0000)
Cu (0.5000, 0.0000, 0.0000)
Mo (0.5000, 0.5000, 0.5000)

Values from the calculation:
Final energy ... -5.30 eV per atom
Magnetization ... 1.3 μB/f.u.
Energy of formation from the pure elements ... 0.4761 eV/atom

17.
The following is a PBE calculation of a relaxed structure of Zr3Ta, from Alexandria via LeMat-Bulk.

a b c (Å): 6.2878 6.2878 5.1457
angles (deg): 90.00 90.00 120.00
Atoms (fractional coordinates):
Zr (0.1712, 0.3425, 0.2500)
Zr (0.1712, 0.8288, 0.2500)
Zr (0.3425, 0.1712, 0.7500)
Zr (0.6575, 0.8288, 0.2500)
Zr (0.8288, 0.1712, 0.7500)
Zr (0.8288, 0.6575, 0.7500)
Ta (0.3333, 0.6667, 0.7500)
Ta (0.6667, 0.3333, 0.2500)

Values from the calculation:
Final energy ... -9.23 eV per atom
Magnetization ... 0.0 μB/f.u.
Energy relative to the lowest polymorph listed for this composition ... 0.0438 eV/atom
Energy of formation from the pure elements ... 0.1469 eV/atom

18.
The following is a PBE calculation of a relaxed structure of Nd4Y5Er3, from Alexandria via LeMat-Bulk.

a b c (Å): 8.6422 8.6422 9.4065
angles (deg): 115.03 115.03 40.18
Atoms (fractional coordinates):
Nd (0.0849, 0.0849, 0.4481)
Nd (0.2176, 0.2176, 0.8828)
Nd (0.7824, 0.7824, 0.1172)
Nd (0.9151, 0.9151, 0.5519)
Y (0.0000, 0.0000, 0.0000)
Y (0.3295, 0.3295, 0.6179)
Y (0.4288, 0.4288, 0.2947)
Y (0.5712, 0.5712, 0.7053)
Y (0.6705, 0.6705, 0.3821)
Er (0.2129, 0.2129, 0.2365)
Er (0.5000, 0.5000, 0.0000)
Er (0.7871, 0.7871, 0.7635)

Values from the calculation:
Final energy ... -5.20 eV per atom
Magnetization ... 0.6 μB/f.u.
Energy of formation from the pure elements ... 0.2228 eV/atom

19.
The following is a PBE calculation of a relaxed structure of TmGeRu, from Alexandria via LeMat-Bulk.

a b c (Å): 4.3600 4.3600 3.4177
angles (deg): 90.00 90.00 120.00
Atoms (fractional coordinates):
Tm (0.0000, 0.0000, 0.0000)
Ge (0.3333, 0.6667, 0.5000)
Ru (0.6667, 0.3333, 0.5000)

Values from the calculation:
Final energy ... -6.71 eV per atom
Magnetization ... 0.0 μB/f.u.
Energy of formation from the pure elements ... -0.5904 eV/atom

20.
The following is a PBE calculation of a relaxed structure of LaTbPm2Dy2, from Alexandria via LeMat-Bulk.

a b c (Å): 7.0022 16.4420 3.5417
angles (deg): 90.00 90.00 90.00
Atoms (fractional coordinates):
La (0.0000, 0.0000, 0.0000)
La (0.5000, 0.5000, 0.5000)
Tb (0.0000, 0.5000, 0.5000)
Tb (0.5000, 0.0000, 0.0000)
Pm (0.2474, 0.3401, 0.0000)
Pm (0.2526, 0.8401, 0.5000)
Pm (0.7474, 0.1599, 0.5000)
Pm (0.7526, 0.6599, 0.0000)
Dy (0.2497, 0.1550, 0.5000)
Dy (0.2503, 0.6550, 0.0000)
Dy (0.7497, 0.3450, 0.0000)
Dy (0.7503, 0.8450, 0.5000)

Values from the calculation:
Final energy ... -4.56 eV per atom
Magnetization ... 0.0 μB/f.u.
Energy of formation from the pure elements ... 0.1509 eV/atom